DFT (PBE) results for crystalline HfTiS4 at its relaxed geometry.

- ΔE_f (raw) (kJ/mol of atoms) = -125.06
- M_tot (μB per formula unit) = 0.00

Cell: 5.670 7.136 7.152 Å, 120.30 90.00 90.00°
Positions (direct):
Hf 0.000 0.500 0.500
Hf 0.500 0.000 0.500
Ti 0.500 0.500 0.000
Ti 0.000 0.000 0.000
S 0.260 0.822 0.158
S 0.240 0.322 0.158
S 0.736 0.657 0.321
S 0.236 0.843 0.679
S 0.764 0.157 0.321
S 0.264 0.343 0.679
S 0.760 0.678 0.842
S 0.740 0.178 0.842